# 1
The following is a GGA-PBE calculation of Sr3Li7As4 after structural relaxation, from Alexandria.

Cell: 8.668 8.668 10.132 Å, 125.44 125.44 29.89°
Atoms (fractional coordinates):
Sr1 0.000 0.000 0.000
Sr2 0.299 0.299 0.276
Sr3 0.701 0.701 0.724
Li1 0.000 0.000 0.500
Li2 0.175 0.175 0.422
Li3 0.323 0.323 0.986
Li4 0.496 0.496 0.722
Li5 0.504 0.504 0.278
Li6 0.677 0.677 0.014
Li7 0.825 0.825 0.578
As1 0.112 0.112 0.828
As2 0.341 0.341 0.731
As3 0.659 0.659 0.269
As4 0.888 0.888 0.172

Calculated values
space-group type = C2/m, No. 12
energy relative to the elements = -0.808 eV/atom
calculated volume = 303.4 Å³ per cell
mass density = 3.3 g cm⁻³

---

# 2
The following is a GGA-PBE calculation of SrLi2As after structural relaxation, from Alexandria.

Cell: 4.662 4.662 4.699 Å, 90.00 90.00 96.58°
Atoms (fractional coordinates):
Sr1 0.000 0.000 0.000
Li1 0.330 0.670 0.500
Li2 0.670 0.330 0.500
As1 0.500 0.500 0.000

Calculated values
space-group type = Cmmm, No. 65
energy relative to the elements = -0.507 eV/atom
calculated volume = 101.4 Å³ per cell
mass density = 2.9 g cm⁻³

---

# 3
The following is a GGA-PBE calculation of SrLiTiAs2 after structural relaxation, from Alexandria.

Cell: 7.092 7.092 7.092 Å, 146.26 146.26 48.46°
Atoms (fractional coordinates):
Sr1 0.000 0.000 0.000
Li1 0.750 0.250 0.500
Ti1 0.250 0.750 0.500
As1 0.365 0.365 0.000
As2 0.635 0.635 0.000

Calculated values
space-group type = I-4m2, No. 119
energy relative to the elements = -0.878 eV/atom
calculated volume = 109.6 Å³ per cell
mass density = 4.4 g cm⁻³

---

# 4
The following is a GGA-PBE calculation of Sr2LiTlAs after structural relaxation, from Alexandria.

Cell: 6.038 6.038 4.830 Å, 90.00 90.00 90.00°
Atoms (fractional coordinates):
Sr1 0.000 0.500 0.000
Sr2 0.500 0.000 0.000
Li1 0.000 0.000 0.500
Tl1 0.500 0.500 0.500
As1 0.000 0.000 0.000

Calculated values
space-group type = P4/mmm, No. 123
energy relative to the elements = -0.524 eV/atom
calculated volume = 176.1 Å³ per cell
mass density = 4.4 g cm⁻³

---

# 5
The following is a GGA-PBE calculation of Sr3LiU2As6 after structural relaxation, from Alexandria.

Cell: 7.367 7.367 7.408 Å, 99.47 99.47 120.01°
Atoms (fractional coordinates):
Sr1 0.000 0.000 0.000
Sr2 0.340 0.660 0.000
Sr3 0.660 0.340 0.000
Li1 0.500 0.500 0.500
U1 0.168 0.832 0.500
U2 0.832 0.168 0.500
As1 0.077 0.429 0.288
As2 0.219 0.219 0.710
As3 0.429 0.077 0.288
As4 0.571 0.923 0.712
As5 0.781 0.781 0.290
As6 0.923 0.571 0.712

Calculated values
space-group type = C2/m, No. 12
energy relative to the elements = -0.872 eV/atom
calculated volume = 328.8 Å³ per cell
mass density = 6.0 g cm⁻³

---

# 6
The following is a GGA-PBE calculation of Sr2LiUAs6 after structural relaxation, from Alexandria.

Cell: 6.095 6.519 8.083 Å, 99.70 109.21 108.35°
Atoms (fractional coordinates):
Sr1 0.070 0.313 0.231
Sr2 0.930 0.687 0.769
Li1 0.500 0.500 0.000
U1 0.500 0.000 0.500
As1 0.010 0.786 0.194
As2 0.283 0.275 0.650
As3 0.380 0.673 0.660
As4 0.620 0.327 0.340
As5 0.717 0.725 0.350
As6 0.990 0.214 0.806

Calculated values
space-group type = P-1, No. 2
energy relative to the elements = -0.561 eV/atom
calculated volume = 274.3 Å³ per cell
mass density = 5.3 g cm⁻³

---

# 7
The following is a GGA-PBE calculation of Sr2LiYAs after structural relaxation, from Alexandria.

Cell: 6.116 6.116 4.489 Å, 90.00 90.00 90.00°
Atoms (fractional coordinates):
Sr1 0.000 0.500 0.000
Sr2 0.500 0.000 0.000
Li1 0.000 0.000 0.000
Y1 0.500 0.500 0.500
As1 0.000 0.000 0.500

Calculated values
space-group type = P4/mmm, No. 123
energy relative to the elements = 0.033 eV/atom
calculated volume = 167.9 Å³ per cell
mass density = 3.4 g cm⁻³

---

# 8
The following is a GGA-PBE calculation of SrLiZnAs2 after structural relaxation, from Alexandria.

Cell: 6.642 6.642 6.642 Å, 142.86 142.86 53.54°
Atoms (fractional coordinates):
Sr1 0.000 0.000 0.000
Li1 0.750 0.250 0.500
Zn1 0.250 0.750 0.500
As1 0.376 0.376 0.000
As2 0.624 0.624 0.000

Calculated values
space-group type = I-4m2, No. 119
energy relative to the elements = -0.721 eV/atom
calculated volume = 106.2 Å³ per cell
mass density = 4.8 g cm⁻³

---

# 9
The following is a GGA-PBE calculation of SrLiZr2As after structural relaxation, from Alexandria.

Cell: 4.794 4.794 5.286 Å, 90.00 90.00 90.00°
Atoms (fractional coordinates):
Sr1 0.000 0.000 0.000
Li1 0.000 0.000 0.500
Zr1 0.000 0.500 0.500
Zr2 0.500 0.000 0.500
As1 0.500 0.500 0.000

Calculated values
space-group type = P4/mmm, No. 123
energy relative to the elements = 0.606 eV/atom
calculated volume = 121.5 Å³ per cell
mass density = 4.8 g cm⁻³

---

# 10
The following is a GGA-PBE calculation of LiTa2As2 after structural relaxation, from Alexandria.

Cell: 7.105 7.105 3.360 Å, 90.00 90.00 90.00°
Atoms (fractional coordinates):
Li1 0.000 0.000 0.000
Li2 0.500 0.500 0.000
Ta1 0.144 0.356 0.500
Ta2 0.356 0.856 0.500
Ta3 0.644 0.144 0.500
Ta4 0.856 0.644 0.500
As1 0.150 0.650 0.000
As2 0.350 0.150 0.000
As3 0.650 0.850 0.000
As4 0.850 0.350 0.000

Calculated values
space-group type = P4/mbm, No. 127
energy relative to the elements = -0.310 eV/atom
calculated volume = 169.6 Å³ per cell
mass density = 10.2 g cm⁻³

---

# 11
The following is a GGA-PBE calculation of Li2TaAs2 after structural relaxation, from Alexandria.

Cell: 6.888 6.888 3.522 Å, 90.00 90.00 90.00°
Atoms (fractional coordinates):
Li1 0.143 0.357 0.000
Li2 0.357 0.857 0.000
Li3 0.643 0.143 0.000
Li4 0.857 0.643 0.000
Ta1 0.000 0.000 0.500
Ta2 0.500 0.500 0.500
As1 0.160 0.660 0.500
As2 0.340 0.160 0.500
As3 0.660 0.840 0.500
As4 0.840 0.340 0.500

Calculated values
space-group type = P4/mbm, No. 127
energy relative to the elements = -0.298 eV/atom
calculated volume = 167.1 Å³ per cell
mass density = 6.8 g cm⁻³

---

# 12
The following is a GGA-PBE calculation of LiTa3As after structural relaxation, from Alexandria.

Cell: 4.779 4.779 4.779 Å, 90.00 90.00 90.00°
Atoms (fractional coordinates):
Li1 0.000 0.000 0.000
Ta1 0.000 0.500 0.500
Ta2 0.500 0.000 0.500
Ta3 0.500 0.500 0.000
As1 0.500 0.500 0.500

Calculated values
space-group type = Pm-3m, No. 221
energy relative to the elements = 1.010 eV/atom
energy above the most stable polymorph in this dataset = 0.00 eV/f.u.
calculated volume = 109.1 Å³ per cell
mass density = 9.5 g cm⁻³

---

# 13
The following is a GGA-PBE calculation of Li4TaAs after structural relaxation, from Alexandria.

Cell: 5.011 5.011 5.011 Å, 60.00 60.00 60.00°
Atoms (fractional coordinates):
Li1 0.125 0.125 0.125
Li2 0.125 0.125 0.624
Li3 0.125 0.624 0.125
Li4 0.624 0.125 0.125
Ta1 0.750 0.750 0.750
As1 0.500 0.500 0.500

Calculated values
space-group type = F-43m, No. 216
energy relative to the elements = 0.374 eV/atom
calculated volume = 89.0 Å³ per cell
mass density = 5.3 g cm⁻³

---

# 14
The following is a GGA-PBE calculation of LiTa2TcAs after structural relaxation, from Alexandria.

Cell: 4.756 4.756 4.577 Å, 90.00 90.00 90.00°
Atoms (fractional coordinates):
Li1 0.000 0.000 0.000
Ta1 0.000 0.500 0.500
Ta2 0.500 0.000 0.500
Tc1 0.000 0.000 0.500
As1 0.500 0.500 0.000

Calculated values
space-group type = P4/mmm, No. 123
energy relative to the elements = 1.047 eV/atom
calculated volume = 103.5 Å³ per cell
mass density = 8.7 g cm⁻³

---

# 15
The following is a GGA-PBE calculation of Li2TaTiAs after structural relaxation, from Alexandria.

Cell: 4.852 4.852 4.691 Å, 90.00 90.00 90.00°
Atoms (fractional coordinates):
Li1 0.000 0.500 0.000
Li2 0.500 0.000 0.000
Ta1 0.000 0.000 0.000
Ti1 0.000 0.000 0.500
As1 0.500 0.500 0.500

Calculated values
space-group type = P4/mmm, No. 123
energy relative to the elements = 1.237 eV/atom
calculated volume = 110.4 Å³ per cell
mass density = 4.8 g cm⁻³

---

# 16
The following is a GGA-PBE calculation of Li4TbAs2 after structural relaxation, from Alexandria.

Cell: 7.652 7.652 4.138 Å, 90.00 90.00 90.00°
Atoms (fractional coordinates):
Li1 0.097 0.336 0.000
Li2 0.164 0.597 0.500
Li3 0.336 0.097 0.000
Li4 0.403 0.836 0.500
Li5 0.597 0.164 0.500
Li6 0.664 0.903 0.000
Li7 0.836 0.403 0.500
Li8 0.903 0.664 0.000
Tb1 0.000 0.000 0.500
Tb2 0.500 0.500 0.000
As1 0.210 0.790 0.000
As2 0.290 0.290 0.500
As3 0.710 0.710 0.500
As4 0.790 0.210 0.000

Calculated values
space-group type = P4_2/mnm, No. 136
energy relative to the elements = -0.813 eV/atom
calculated volume = 242.3 Å³ per cell
mass density = 4.6 g cm⁻³

---

# 17
The following is a GGA-PBE calculation of Li3TbAs2 after structural relaxation, from Alexandria.

Cell: 8.387 8.387 10.120 Å, 100.80 100.80 27.82°
Atoms (fractional coordinates):
Li1 0.000 0.000 0.000
Li2 0.123 0.123 0.732
Li3 0.183 0.183 0.491
Li4 0.291 0.291 0.092
Li5 0.451 0.451 0.160
Li6 0.549 0.549 0.840
Li7 0.709 0.709 0.908
Li8 0.817 0.817 0.509
Li9 0.877 0.877 0.268
Tb1 0.334 0.334 0.781
Tb2 0.500 0.500 0.500
Tb3 0.666 0.666 0.219
As1 0.045 0.045 0.310
As2 0.142 0.142 0.996
As3 0.305 0.305 0.350
As4 0.695 0.695 0.650
As5 0.858 0.858 0.004
As6 0.955 0.955 0.690

Calculated values
space-group type = C2/m, No. 12
energy relative to the elements = -0.902 eV/atom
calculated volume = 326.0 Å³ per cell
mass density = 5.0 g cm⁻³

---

# 18
The following is a GGA-PBE calculation of LiTbTh2As4 after structural relaxation, from Alexandria.

Cell: 7.117 4.256 7.349 Å, 90.00 109.82 90.00°
Atoms (fractional coordinates):
Li1 0.000 0.000 0.000
Tb1 0.000 0.500 0.500
Th1 0.500 0.000 0.500
Th2 0.500 0.500 0.000
As1 0.244 0.000 0.750
As2 0.251 0.500 0.251
As3 0.749 0.500 0.749
As4 0.756 0.000 0.250

Calculated values
space-group type = P2/m, No. 10
energy relative to the elements = -1.185 eV/atom
calculated volume = 209.4 Å³ per cell
mass density = 7.4 g cm⁻³

---

# 19
The following is a GGA-PBE calculation of LiTbU2As4 after structural relaxation, from Alexandria.

Cell: 7.051 4.090 7.079 Å, 90.00 109.40 90.00°
Atoms (fractional coordinates):
Li1 0.000 0.000 0.000
Tb1 0.500 0.500 0.000
U1 0.000 0.500 0.500
U2 0.500 0.000 0.500
As1 0.246 0.000 0.746
As2 0.253 0.500 0.261
As3 0.747 0.500 0.739
As4 0.754 0.000 0.254

Calculated values
space-group type = P2/m, No. 10
energy relative to the elements = -0.837 eV/atom
calculated volume = 192.6 Å³ per cell
mass density = 8.1 g cm⁻³

---

# 20
The following is a GGA-PBE calculation of LiTb2UAs4 after structural relaxation, from Alexandria.

Cell: 6.964 4.107 7.079 Å, 90.00 108.52 90.00°
Atoms (fractional coordinates):
Li1 0.000 0.000 0.000
Tb1 0.000 0.500 0.500
Tb2 0.500 0.000 0.500
U1 0.500 0.500 0.000
As1 0.253 0.000 0.760
As2 0.258 0.500 0.239
As3 0.742 0.500 0.761
As4 0.747 0.000 0.240

Calculated values
space-group type = P2/m, No. 10
energy relative to the elements = -1.001 eV/atom
calculated volume = 192.0 Å³ per cell
mass density = 7.5 g cm⁻³

---

# 21
The following is a GGA-PBE calculation of LiTb2ZrAs4 after structural relaxation, from Alexandria.

Cell: 6.834 4.007 7.087 Å, 90.00 109.71 90.00°
Atoms (fractional coordinates):
Li1 0.000 0.000 0.000
Tb1 0.500 0.000 0.500
Tb2 0.500 0.500 0.000
Zr1 0.000 0.500 0.500
As1 0.233 0.500 0.250
As2 0.234 0.000 0.742
As3 0.766 0.000 0.258
As4 0.767 0.500 0.750

Calculated values
space-group type = P2/m, No. 10
energy relative to the elements = -1.065 eV/atom
calculated volume = 182.7 Å³ per cell
mass density = 6.5 g cm⁻³

---

# 22
The following is a GGA-PBE calculation of LiTc2As2 after structural relaxation, from Alexandria.

Cell: 5.887 5.887 5.887 Å, 138.50 138.50 60.14°
Atoms (fractional coordinates):
Li1 0.000 0.000 0.000
Tc1 0.250 0.750 0.500
Tc2 0.750 0.250 0.500
As1 0.376 0.376 0.000
As2 0.624 0.624 0.000

Calculated values
space-group type = I4/mmm, No. 139
energy relative to the elements = -0.181 eV/atom
energy above the most stable polymorph in this dataset = 0.00 eV/f.u.
calculated volume = 88.6 Å³ per cell
mass density = 6.6 g cm⁻³

---

# 23
The following is a GGA-PBE calculation of Li2TcAs after structural relaxation, from Alexandria.

Cell: 2.623 2.623 8.547 Å, 90.00 90.00 90.00°
Atoms (fractional coordinates):
Li1 0.000 0.000 0.239
Li2 0.000 0.000 0.761
Tc1 0.500 0.500 0.500
As1 0.500 0.500 0.000

Calculated values
space-group type = P4/mmm, No. 123
energy relative to the elements = -0.019 eV/atom
calculated volume = 58.8 Å³ per cell
mass density = 5.3 g cm⁻³

---

# 24
The following is a GGA-PBE calculation of Li2TcAs after structural relaxation, from Alexandria.

Cell: 5.085 5.085 2.620 Å, 90.00 90.00 120.72°
Atoms (fractional coordinates):
Li1 0.000 0.500 0.000
Li2 0.500 0.000 0.000
Tc1 0.000 0.000 0.500
As1 0.500 0.500 0.500

Calculated values
space-group type = Cmmm, No. 65
energy relative to the elements = -0.043 eV/atom
calculated volume = 58.3 Å³ per cell
mass density = 5.3 g cm⁻³

---

# 25
The following is a GGA-PBE calculation of Li2TcAs after structural relaxation, from Alexandria.

Cell: 5.556 5.556 5.556 Å, 100.77 100.77 128.79°
Atoms (fractional coordinates):
Li1 0.108 0.625 0.983
Li2 0.375 0.358 0.483
Li3 0.642 0.125 0.017
Li4 0.875 0.892 0.517
Tc1 0.250 0.750 0.500
Tc2 0.500 0.500 0.000
As1 0.000 0.000 0.000
As2 0.750 0.250 0.500

Calculated values
space-group type = I-42d, No. 122
energy relative to the elements = 0.188 eV/atom
calculated volume = 120.5 Å³ per cell
mass density = 5.1 g cm⁻³